Model one:
LiErCl4 after structural relaxation. Source: the Alexandria database, functional GGA-PBE.

Structure (extended XYZ):
```
12
Lattice="4.074 -8.483 0.000 4.074 8.483 0.000 -4.004 0.000 4.927" Properties=species:S:1:pos:R:3 pbc="T T T"
Li 1.071 6.187 3.695
Li 3.073 -6.187 1.232
Er 3.073 2.921 1.232
Er 1.071 -2.921 3.695
Cl -1.193 3.462 3.576
Cl 1.134 1.318 1.368
Cl -0.868 -1.318 3.831
Cl 0.809 -3.462 1.113
Cl 3.335 3.462 3.814
Cl 5.012 1.318 1.096
Cl 3.010 -1.318 3.559
Cl 5.337 -3.462 1.351
```

Model two:
LiErCl4 after structural relaxation. Source: the Alexandria database, functional GGA-PBE.

Structure (extended XYZ):
```
6
Lattice="6.620 0.000 0.000 0.000 3.902 0.000 -0.681 0.000 6.658" Properties=species:S:1:pos:R:3 pbc="T T T"
Li 0.000 0.000 0.000
Er -0.341 1.951 3.329
Cl 1.184 1.951 1.247
Cl 1.038 0.000 4.491
Cl 4.901 0.000 2.167
Cl 4.754 1.951 5.411
```

Question: which arrangement is favored energetically? Ranking from most to least stable: model two, model one.

Model one:
NaErCl4 after structural relaxation. Source: the Alexandria database, functional GGA-PBE.

Structure (extended XYZ):
```
6
Lattice="6.503 0.000 0.000 0.000 4.007 0.000 -0.372 0.000 7.235" Properties=species:S:1:pos:R:3 pbc="T T T"
Na 0.000 0.000 0.000
Er -0.186 2.004 3.618
Cl 1.248 2.004 1.471
Cl 1.239 0.000 4.672
Cl 4.893 0.000 2.563
Cl 4.883 2.004 5.764
```

Model two:
NaErCl4 after structural relaxation. Source: the Alexandria database, functional GGA-PBE.

Structure (extended XYZ):
```
12
Lattice="4.540 -7.507 0.000 4.540 7.507 0.000 -4.065 0.000 5.130" Properties=species:S:1:pos:R:3 pbc="T T T"
Na 1.492 4.742 3.847
Na 3.524 -4.742 1.282
Er 3.524 1.208 1.282
Er 1.492 -1.208 3.847
Cl 1.695 2.974 1.580
Cl -0.484 0.679 3.824
Cl 1.549 -0.679 1.259
Cl 5.353 2.974 0.985
Cl -0.337 -2.974 4.145
Cl 3.467 0.679 3.871
Cl 5.499 -0.679 1.306
Cl 3.320 -2.974 3.550
```

Model three:
NaErCl4 after structural relaxation. Source: the Alexandria database, functional GGA-PBE.

Structure (extended XYZ):
```
12
Lattice="6.435 0.000 0.000 0.000 7.748 0.000 -0.334 0.000 6.810" Properties=species:S:1:pos:R:3 pbc="T T T"
Na -0.083 1.127 1.702
Na -0.250 6.621 5.107
Er 2.967 2.685 5.107
Er 3.134 5.063 1.702
Cl 1.374 0.992 4.073
Cl 1.541 6.756 0.668
Cl 1.777 3.060 0.440
Cl 1.610 4.687 3.845
Cl 4.492 3.060 2.965
Cl 4.325 4.687 6.370
Cl 4.560 0.992 6.141
Cl 4.727 6.756 2.737
```

Question: which arrangement is favored energetically? Ranking from most to least stable: model three, model one, model two.

Model one:
NdErCl after structural relaxation. Source: the Alexandria database, functional GGA-PBE.

Structure (extended XYZ):
```
6
Lattice="3.764 0.000 0.000 1.882 3.261 0.000 1.796 0.733 16.017" Properties=species:S:1:pos:R:3 pbc="T T T"
Nd 0.000 0.000 0.000
Nd 3.762 2.176 8.489
Er 1.881 1.087 5.634
Er 3.764 2.174 2.912
Cl 3.678 1.820 14.152
Cl 5.645 3.263 10.345
```

Model two:
NdErCl after structural relaxation. Source: the Alexandria database, functional GGA-PBE.

Structure (extended XYZ):
```
3
Lattice="3.694 0.000 0.000 -1.847 3.199 0.000 0.000 0.000 7.184" Properties=species:S:1:pos:R:3 pbc="T T T"
Nd 0.000 0.000 0.000
Er 1.847 1.066 2.733
Cl 0.000 2.133 4.809
```

Question: which arrangement is favored energetically? Ranking from most to least stable: model one, model two.